[1]
First-principles (GGA-PBE) data for an optimized crystal structure of Li4LuAg, as listed in the Alexandria database.

Computed properties:
- Energy of formation: 3.9 kJ per mole of atoms
- Space group: No. 216

Cell: 5.378 5.378 5.378 Å, 60.00 60.00 60.00°
Positions (direct):
Li (0.123, 0.123, 0.123)
Li (0.123, 0.123, 0.630)
Li (0.123, 0.630, 0.123)
Li (0.630, 0.123, 0.123)
Lu (0.500, 0.500, 0.500)
Ag (0.750, 0.750, 0.750)

[2]
First-principles (GGA-PBE) data for an optimized crystal structure of LiLuAg2, as listed in the Alexandria database.

Computed properties:
- Energy of formation: -21.0 kJ per mole of atoms
- Space group: No. 225

Cell: 4.835 4.835 4.835 Å, 60.00 60.00 60.00°
Positions (direct):
Li (0.000, 0.000, 0.000)
Lu (0.500, 0.500, 0.500)
Ag (0.250, 0.250, 0.250)
Ag (0.750, 0.750, 0.750)

[3]
First-principles (GGA-PBE) data for an optimized crystal structure of LiLuAg4, as listed in the Alexandria database.

Computed properties:
- Energy of formation: -11.1 kJ per mole of atoms
- Space group: No. 216

Cell: 5.546 5.546 5.546 Å, 60.00 60.00 60.00°
Positions (direct):
Li (0.000, 0.000, 0.000)
Lu (0.250, 0.250, 0.250)
Ag (0.124, 0.625, 0.625)
Ag (0.625, 0.124, 0.625)
Ag (0.625, 0.625, 0.124)
Ag (0.625, 0.625, 0.625)

[4]
First-principles (GGA-PBE) data for an optimized crystal structure of LiLuAg2, as listed in the Alexandria database.

Computed properties:
- Energy of formation: -18.1 kJ per mole of atoms
- Space group: No. 123

Cell: 4.871 4.871 3.440 Å, 90.00 90.00 90.00°
Positions (direct):
Li (0.000, 0.000, 0.000)
Lu (0.500, 0.500, 0.000)
Ag (0.000, 0.500, 0.500)
Ag (0.500, 0.000, 0.500)

What did the fourth record say?
First-principles (GGA-PBE) data for an optimized crystal structure of LiLuAg2, as listed in the Alexandria database.

Computed properties:
- Energy of formation: -18.1 kJ per mole of atoms
- Space group: No. 123

Cell: 4.871 4.871 3.440 Å, 90.00 90.00 90.00°
Positions (direct):
Li (0.000, 0.000, 0.000)
Lu (0.500, 0.500, 0.000)
Ag (0.000, 0.500, 0.500)
Ag (0.500, 0.000, 0.500)